Crystalline Tl2PdPt at its relaxed geometry, computed with PBE.

a = 3.9226 Å, b = 3.9226 Å, c = 19.9523 Å
α = 90.00°, β = 90.00°, γ = 120.00°
Space group R3m (No. 160, hexagonal axes)
Symmetry-distinct sites (fractional):
1 Tl 0.0000 0.0000 0.0000 [3 per cell]
2 Tl 0.0000 0.0000 0.1706 [3 per cell]
3 Pd 0.0000 0.0000 0.7509 [3 per cell]
4 Pt 0.0000 0.0000 0.5855 [3 per cell]

* energy relative to the elements: 0.021 eV/atom
* total magnetization: 0.00 μB per formula unit
* total DFT energy (no corrections): -3.970 eV/atom

=====

Crystalline LiTbAg4 at its relaxed geometry, computed with PBE.

a = 7.8857 Å, b = 7.8857 Å, c = 7.8857 Å
α = 90.00°, β = 90.00°, γ = 90.00°
Space group F-43m (No. 216)
Symmetry-distinct sites (fractional):
1 Li 0.0000 0.0000 0.0000 [4 per cell]
2 Tb 0.2500 0.2500 0.2500 [4 per cell]
3 Ag 0.1255 0.1255 0.6255 [16 per cell]

* energy relative to the elements: -0.145 eV/atom
* total magnetization: 0.00 μB per formula unit
* total DFT energy (no corrections): -3.136 eV/atom

=====

Crystalline CS at its relaxed geometry, computed with PBE.

a = 3.6972 Å, b = 2.7452 Å, c = 3.8757 Å
α = 90.00°, β = 108.25°, γ = 90.00°
Space group Pm (No. 6)
Symmetry-distinct sites (fractional):
1 C 0.0000 0.0000 0.0000 [1 per cell]
2 S 0.2680 0.5000 0.0095 [1 per cell]

* raw formation energy: 2.71 eV per formula unit
* total magnetization: 0.00 μB per formula unit
* total DFT energy (no corrections): -5.321 eV/atom

=====

Crystalline CsVAu3 at its relaxed geometry, computed with PBE.

a = 5.2571 Å, b = 5.2571 Å, c = 5.2571 Å
α = 90.00°, β = 90.00°, γ = 90.00°
Space group Pm-3m (No. 221)
Symmetry-distinct sites (fractional):
1 Cs 0.0000 0.0000 0.0000 [1 per cell]
2 V 0.5000 0.5000 0.5000 [1 per cell]
3 Au 0.0000 0.5000 0.5000 [3 per cell]

* energy relative to the elements: 0.260 eV/atom
* total magnetization: 2.98 μB per formula unit
* total DFT energy (no corrections): -3.701 eV/atom